An optimized crystal structure of GaF, computed with PBE.

Calculated values
Symmetry: I-43m (217)
E_tot, eV per atom: -3.9956
Formation energy from raw total energies, eV/atom: -1.547

Structure (POSCAR):
```
GaF
1.0
-3.1132 5.0884 -6.0999
-7.9311 -2.3579 2.0809
-0.4447 6.4297 5.5905
Ga F
8 8
Direct
0.1431 0.8569 0.1431
0.8569 0.8569 0.8569
0.6431 0.6431 0.3569
0.8569 0.1431 0.1431
0.3569 0.3569 0.3569
0.1431 0.1431 0.8569
0.6431 0.3569 0.6431
0.3569 0.6431 0.6431
0.1143 0.1143 0.1143
0.1143 0.8857 0.8857
0.6143 0.3857 0.3857
0.6143 0.6143 0.6143
0.8857 0.8857 0.1143
0.3857 0.6143 0.3857
0.8857 0.1143 0.8857
0.3857 0.3857 0.6143
```